# CaBeN

A relaxed CaBeN crystal (PBE-GGA, Alexandria via LeMat-Bulk).

**Raw formation energy**: -498.6 meV/atom
**Uncorrected energy**: -5.18 eV per atom
**ΔE to the lowest computed polymorph**: 237 meV/atom

Cell lengths 3.082, 3.081, 8.246 Å; angles 90.00, 90.00, 120.00 degrees
Element x y z (fractional)
N 0.333 0.666 0.250
N 0.667 0.334 0.750
Be 0.334 0.667 0.750
Be 0.666 0.333 0.250
Ca 0.000 0.000 0.500
Ca 0.000 0.000 0.000